Record 1
Entry from Alexandria: a geometry-optimized PuTh2MgN5 structure (GGA-PBE). Values from VASP.

Space-group type: Cmc2_1 (36)
Uncorrected formation energy in eV per atom: -1.21

The structure in Quantum ESPRESSO input format:
```
&SYSTEM
  ibrav = 0, nat = 18, ntyp = 4
/
ATOMIC_SPECIES
Pu 244.00 Pu.upf
Th 232.04 Th.upf
Mg 24.30 Mg.upf
N 14.01 N.upf
CELL_PARAMETERS angstrom
-0.629 -2.843 -2.001
6.431 2.191 -2.014
4.429 -6.191 7.406
ATOMIC_POSITIONS crystal
Pu 0.792 0.583 0.509
Pu 0.208 0.417 0.009
Th 0.864 0.727 0.792
Th 0.110 0.219 0.697
Th 0.136 0.273 0.292
Th 0.890 0.781 0.197
Mg 0.523 0.045 0.968
Mg 0.477 0.955 0.468
N 0.361 0.722 0.010
N 0.693 0.387 0.867
N 0.491 0.983 0.775
N 0.280 0.560 0.656
N 0.937 0.873 0.551
N 0.639 0.278 0.510
N 0.307 0.613 0.367
N 0.509 0.017 0.275
N 0.720 0.440 0.156
N 0.063 0.127 0.051
```

=====

Record 2
Entry from Alexandria: a geometry-optimized PuThMg2N4 structure (GGA-PBE). Values from VASP.

Space-group type: P2/m (10)
Uncorrected formation energy in eV per atom: -1.03

The structure in Quantum ESPRESSO input format:
```
&SYSTEM
  ibrav = 0, nat = 8, ntyp = 4
/
ATOMIC_SPECIES
Pu 244.00 Pu.upf
Th 232.04 Th.upf
Mg 24.30 Mg.upf
N 14.01 N.upf
CELL_PARAMETERS angstrom
3.502 0.000 0.000
0.000 5.677 0.045
0.000 2.140 5.657
ATOMIC_POSITIONS crystal
Pu 0.500 0.500 0.000
Th 0.000 0.500 0.500
Mg 0.000 0.000 0.000
Mg 0.500 0.000 0.500
N 0.000 0.741 0.766
N 0.000 0.259 0.234
N 0.500 0.749 0.243
N 0.500 0.251 0.757
```

=====

Record 3
Entry from Alexandria: a geometry-optimized Pu3Mg3TiN8 structure (GGA-PBE). Values from VASP.

Space-group type: R-3m (166)
Uncorrected formation energy in eV per atom: -0.96

The structure in Quantum ESPRESSO input format:
```
&SYSTEM
  ibrav = 0, nat = 15, ntyp = 4
/
ATOMIC_SPECIES
Pu 244.00 Pu.upf
Mg 24.30 Mg.upf
Ti 47.87 Ti.upf
N 14.01 N.upf
CELL_PARAMETERS angstrom
-3.370 3.385 4.571
-2.190 -5.901 -2.025
5.300 0.532 3.512
ATOMIC_POSITIONS crystal
Pu 0.500 0.000 0.500
Pu 0.500 0.500 0.500
Pu 0.000 0.500 0.500
Mg 0.000 0.000 0.000
Mg 0.000 0.500 0.000
Mg 0.500 0.500 0.000
Ti 0.000 0.000 0.500
N 0.250 0.499 0.249
N 0.750 0.501 0.751
N 0.771 0.543 0.284
N 0.229 0.457 0.716
N 0.771 0.013 0.284
N 0.229 0.987 0.716
N 0.241 0.012 0.284
N 0.759 0.988 0.716
```

=====

Record 4
Entry from Alexandria: a geometry-optimized PuMg2TiN4 structure (GGA-PBE). Values from VASP.

Space-group type: P2/m (10)
Uncorrected formation energy in eV per atom: -1.11

The structure in Quantum ESPRESSO input format:
```
&SYSTEM
  ibrav = 0, nat = 8, ntyp = 4
/
ATOMIC_SPECIES
Pu 244.00 Pu.upf
Mg 24.30 Mg.upf
Ti 47.87 Ti.upf
N 14.01 N.upf
CELL_PARAMETERS angstrom
3.225 0.000 0.000
0.000 5.525 0.127
0.000 -1.900 5.091
ATOMIC_POSITIONS crystal
Pu 0.500 0.500 0.000
Mg 0.500 0.000 0.500
Mg 0.000 0.500 0.500
Ti 0.000 0.000 0.000
N 0.500 0.237 0.233
N 0.500 0.763 0.767
N 0.000 0.238 0.761
N 0.000 0.762 0.239
```

=====

Record 5
Entry from Alexandria: a geometry-optimized Pu2MgTiN5 structure (GGA-PBE). Values from VASP.

Space-group type: Cmc2_1 (36)
Uncorrected formation energy in eV per atom: -0.98

The structure in Quantum ESPRESSO input format:
```
&SYSTEM
  ibrav = 0, nat = 18, ntyp = 4
/
ATOMIC_SPECIES
Pu 244.00 Pu.upf
Mg 24.30 Mg.upf
Ti 47.87 Ti.upf
N 14.01 N.upf
CELL_PARAMETERS angstrom
3.303 0.000 0.000
-1.652 6.370 0.000
0.000 0.000 10.500
ATOMIC_POSITIONS crystal
Pu 0.853 0.705 0.787
Pu 0.089 0.177 0.657
Pu 0.147 0.295 0.287
Pu 0.911 0.823 0.157
Mg 0.540 0.081 0.954
Mg 0.460 0.919 0.454
Ti 0.780 0.559 0.510
Ti 0.220 0.441 0.010
N 0.376 0.752 0.008
N 0.703 0.407 0.901
N 0.492 0.985 0.767
N 0.265 0.530 0.669
N 0.932 0.865 0.572
N 0.624 0.248 0.508
N 0.297 0.593 0.401
N 0.508 0.015 0.267
N 0.735 0.470 0.169
N 0.068 0.135 0.072
```

=====

Record 6
Entry from Alexandria: a geometry-optimized TmPuMg2N4 structure (GGA-PBE). Values from VASP.

Space-group type: P2/m (10)
Uncorrected formation energy in eV per atom: -1.13

The structure in Quantum ESPRESSO input format:
```
&SYSTEM
  ibrav = 0, nat = 8, ntyp = 4
/
ATOMIC_SPECIES
Tm 168.93 Tm.upf
Pu 244.00 Pu.upf
Mg 24.30 Mg.upf
N 14.01 N.upf
CELL_PARAMETERS angstrom
-0.408 -2.413 -2.311
4.411 2.141 -3.015
1.874 -3.756 3.592
ATOMIC_POSITIONS crystal
Tm 0.500 0.500 0.000
Pu 0.000 0.000 0.000
Mg 0.500 0.000 0.500
Mg 0.000 0.500 0.500
N 0.500 0.243 0.247
N 0.500 0.757 0.753
N 0.000 0.235 0.765
N 0.000 0.765 0.235
```

=====

Record 7
Entry from Alexandria: a geometry-optimized Tm2PuMgN4 structure (GGA-PBE). Values from VASP.

Space-group type: P2/m (10)
Uncorrected formation energy in eV per atom: -1.38

The structure in Quantum ESPRESSO input format:
```
&SYSTEM
  ibrav = 0, nat = 8, ntyp = 4
/
ATOMIC_SPECIES
Tm 168.93 Tm.upf
Pu 244.00 Pu.upf
Mg 24.30 Mg.upf
N 14.01 N.upf
CELL_PARAMETERS angstrom
3.416 0.000 0.000
0.000 5.728 0.165
0.000 -1.941 5.452
ATOMIC_POSITIONS crystal
Tm 0.500 0.000 0.500
Tm 0.000 0.500 0.500
Pu 0.500 0.500 0.000
Mg 0.000 0.000 0.000
N 0.500 0.264 0.244
N 0.500 0.736 0.756
N 0.000 0.249 0.750
N 0.000 0.751 0.250
```

=====

Record 8
Entry from Alexandria: a geometry-optimized Pu2MgUN4 structure (GGA-PBE). Values from VASP.

Space-group type: P2/m (10)
Uncorrected formation energy in eV per atom: -1.11

The structure in Quantum ESPRESSO input format:
```
&SYSTEM
  ibrav = 0, nat = 8, ntyp = 4
/
ATOMIC_SPECIES
Pu 244.00 Pu.upf
Mg 24.30 Mg.upf
U 238.03 U.upf
N 14.01 N.upf
CELL_PARAMETERS angstrom
3.452 0.000 0.000
0.000 5.723 0.087
0.000 -2.013 5.600
ATOMIC_POSITIONS crystal
Pu 0.500 0.000 0.500
Pu 0.000 0.500 0.500
Mg 0.000 0.000 0.000
U 0.500 0.500 0.000
N 0.500 0.263 0.235
N 0.500 0.737 0.765
N 0.000 0.260 0.777
N 0.000 0.740 0.223
```